VASP calculation (SCAN) on a crystal of TaAl2BH relaxed with PBEsol.

The structure in POSCAR format:
```
TaAl2BH
1.0
3.9413 0.0000 0.0000
0.0000 3.9413 0.0000
0.0000 0.0000 4.4187
Ta Al B H
1 2 1 1
Direct
0.0000 0.0000 0.0000 Ta
0.0000 0.5000 0.5000 Al
0.5000 0.0000 0.5000 Al
0.0000 0.0000 0.5000 B
0.5000 0.5000 0.0000 H
```

Computed properties:
Space-group type: No. 123
Total DFT energy (no corrections), Ry/atom: -1.3167
Total moment, μB per cell: 0.0